La2TbPm3S6: relaxed, PBE.

Cell: 7.038 7.038 7.015 Å, 99.64 99.64 120.11°
Fractional positions:
La (0.166, 0.834, 0.000)
La (0.834, 0.166, 0.000)
Tb (0.500, 0.500, 0.000)
Pm (0.000, 0.000, 0.500)
Pm (0.330, 0.670, 0.500)
Pm (0.670, 0.330, 0.500)
S (0.093, 0.417, 0.749)
S (0.262, 0.262, 0.254)
S (0.417, 0.093, 0.749)
S (0.583, 0.907, 0.251)
S (0.738, 0.738, 0.746)
S (0.907, 0.583, 0.251)

Values from the calculation:
Magnetic moment: 0.00 μB/cell
Energy relative to the elements, uncorrected: -2074.8 meV/atom
Symmetry: C2/m, No. 12
VASP energy: -6.53 eV per atom
V: 23.6 Å³ per atom

=====

Pm2H12PdRh3: relaxed, PBE.

Cell: 6.096 6.096 6.096 Å, 60.40 60.40 60.40°
Fractional positions:
Pm (0.119, 0.119, 0.119)
Pm (0.881, 0.881, 0.881)
H (0.133, 0.606, 0.606)
H (0.165, 0.165, 0.638)
H (0.165, 0.638, 0.165)
H (0.362, 0.835, 0.835)
H (0.394, 0.394, 0.867)
H (0.394, 0.867, 0.394)
H (0.606, 0.133, 0.606)
H (0.606, 0.606, 0.133)
H (0.638, 0.165, 0.165)
H (0.835, 0.362, 0.835)
H (0.835, 0.835, 0.362)
H (0.867, 0.394, 0.394)
Pd (0.500, 0.500, 0.500)
Rh (0.000, 0.500, 0.500)
Rh (0.500, 0.000, 0.500)
Rh (0.500, 0.500, 0.000)

Values from the calculation:
Magnetic moment: 0.00 μB/cell
Symmetry: R-3m, No. 166
VASP energy: -4.54 eV per atom
V: 9.0 Å³ per atom

=====

ZrMn2Te: relaxed, PBE.

Cell: 5.476 5.476 3.303 Å, 106.34 106.34 116.09°
Fractional positions:
Zr (0.000, 0.000, 0.000)
Mn (0.000, 0.500, 0.500)
Mn (0.500, 0.000, 0.500)
Te (0.500, 0.500, 0.000)

Values from the calculation:
Magnetic moment: 5.46 μB/cell
Energy relative to the elements, uncorrected: 209.0 meV/atom
Symmetry: C2/m, No. 12
VASP energy: -7.30 eV per atom
V: 18.8 Å³ per atom

=====

Dy6Er8Th: relaxed, PBE.

Cell: 8.562 8.562 8.562 Å, 63.14 63.14 63.14°
Fractional positions:
Dy (0.037, 0.606, 0.730)
Dy (0.270, 0.963, 0.394)
Dy (0.394, 0.270, 0.963)
Dy (0.606, 0.730, 0.037)
Dy (0.730, 0.037, 0.606)
Dy (0.963, 0.394, 0.270)
Er (0.077, 0.077, 0.077)
Er (0.219, 0.612, 0.250)
Er (0.250, 0.219, 0.612)
Er (0.388, 0.750, 0.781)
Er (0.612, 0.250, 0.219)
Er (0.750, 0.781, 0.388)
Er (0.781, 0.388, 0.750)
Er (0.923, 0.923, 0.923)
Th (0.500, 0.500, 0.500)

Values from the calculation:
Magnetic moment: 0.00 μB/cell
E_form: 0.13 eV per atom
Symmetry: R-3, No. 148
VASP energy: -4.64 eV per atom
V: 31.6 Å³ per atom

=====

- Which of these has the lowest VASP energy?
  ZrMn2Te